The following is a PBE calculation of a relaxed LiCu2Ir crystal, from Alexandria via LeMat-Bulk.

Cell: 2.8549 4.1444 8.3529 Å, 90.00 90.00 90.00°
Last column: nearest neighbours and their distance in Å.
Space group Immm (No. 71)
Unique sites:
Li (0.0000, 0.0000, 0.0000) [2 per cell]  4 Cu 2.48, 4 Ir 2.52
Cu (0.0000, 0.5000, 0.2577) [4 per cell]  2 Li 2.48, 4 Cu 2.52, 2 Ir 2.58
Ir (0.0000, 0.0000, 0.5000) [2 per cell]  4 Li 2.52, 4 Cu 2.58

Output
**Crystal system**: orthorhombic
**ΔH_f (0 K)**: 6.54 kJ/mol of atoms